# 1
## Ba3Cd3Ag (PBE)

Data for crystalline Ba3Cd3Ag at its relaxed geometry.

Cell: 4.882 6.657 17.195 Å, 85.38 81.84 68.49°
Element x y z (fractional)
Ag (0.763, 0.086, 0.389)
Cd (0.149, 0.243, 0.458)
Ag (0.237, 0.914, 0.611)
Ba (0.394, 0.291, 0.921)
Ba (0.749, 0.741, 0.762)
Cd (0.851, 0.757, 0.542)
Ba (0.536, 0.321, 0.607)
Cd (0.959, 0.844, 0.238)
Cd (0.041, 0.156, 0.762)
Cd (0.898, 0.125, 0.079)
Ba (0.251, 0.259, 0.238)
Ba (0.464, 0.679, 0.393)
Ba (0.606, 0.709, 0.079)
Cd (0.102, 0.875, 0.921)

=====

# 2
## Ba5Cd2Ag (PBE)

Data for crystalline Ba5Cd2Ag at its relaxed geometry.

Cell: 8.705 8.705 11.223 Å, 112.82 112.82 90.00°
Element x y z (fractional)
Ba (0.175, 0.025, 0.700)
Ba (0.000, 0.000, 0.000)
Ag (0.750, 0.750, 0.500)
Ba (0.475, 0.325, 0.300)
Ba (0.325, 0.825, 0.300)
Cd (0.382, 0.882, 0.000)
Ba (0.525, 0.675, 0.700)
Cd (0.618, 0.118, 0.000)
Ba (0.500, 0.500, 0.000)
Ag (0.250, 0.250, 0.500)
Cd (0.882, 0.618, 0.000)
Ba (0.975, 0.475, 0.300)
Ba (0.825, 0.975, 0.300)
Ba (0.675, 0.175, 0.700)
Cd (0.118, 0.382, 0.000)
Ba (0.025, 0.525, 0.700)

=====

# 3
## Ba2Cd2Ag3 (PBE)

Data for crystalline Ba2Cd2Ag3 at its relaxed geometry.

Cell: 4.749 8.283 10.765 Å, 90.00 102.74 90.00°
Element x y z (fractional)
Ag (0.441, 0.575, 0.881)
Ba (0.938, 0.250, 0.877)
Ag (0.226, 0.750, 0.453)
Ba (0.062, 0.750, 0.123)
Ba (0.844, 0.750, 0.689)
Ag (0.774, 0.250, 0.547)
Ba (0.156, 0.250, 0.311)
Cd (0.310, 0.060, 0.620)
Ag (0.559, 0.425, 0.119)
Cd (0.690, 0.940, 0.380)
Cd (0.310, 0.440, 0.620)
Ag (0.559, 0.075, 0.119)
Cd (0.690, 0.560, 0.380)
Ag (0.441, 0.925, 0.881)

=====

# 4
## Ba3Cd2Ag7 (PBE)

Data for crystalline Ba3Cd2Ag7 at its relaxed geometry.

Cell: 6.139 6.139 10.146 Å, 72.39 72.39 60.00°
Element x y z (fractional)
Ag (0.578, 0.088, 0.755)
Cd (0.331, 0.331, 0.007)
Cd (0.669, 0.669, 0.993)
Ag (0.500, 0.500, 0.500)
Ag (0.578, 0.578, 0.755)
Ag (0.088, 0.578, 0.755)
Ba (0.000, 0.000, 0.000)
Ag (0.422, 0.912, 0.245)
Ba (0.856, 0.856, 0.433)
Ba (0.144, 0.144, 0.567)
Ag (0.422, 0.422, 0.245)
Ag (0.912, 0.422, 0.245)

=====

# 5
## Ba8Cd2Ag (PBE)

Data for crystalline Ba8Cd2Ag at its relaxed geometry.

Output
E above lowest polymorph = 42.0 meV per atom

Cell: 7.464 9.345 9.345 Å, 112.22 101.45 101.45°
Element x y z (fractional)
Cd (0.483, 0.318, 0.690)
Ba (0.979, 0.797, 0.205)
Ag (0.196, 0.007, 0.007)
Cd (0.483, 0.690, 0.318)
Ba (0.366, 0.662, 0.927)
Ba (0.366, 0.927, 0.662)
Ba (0.170, 0.355, 0.355)
Ba (0.979, 0.205, 0.797)
Ba (0.590, 0.081, 0.342)
Ba (0.797, 0.650, 0.650)
Ba (0.590, 0.342, 0.081)

=====

# 6
## Ba2CdAg (PBE)

Data for crystalline Ba2CdAg at its relaxed geometry.

Cell: 4.871 4.871 8.934 Å, 74.31 74.31 59.84°
Element x y z (fractional)
Ba (0.993, 0.993, 0.021)
Ba (0.507, 0.507, 0.479)
Cd (0.750, 0.750, 0.750)
Ag (0.250, 0.250, 0.250)

=====

# 7
## BaCd5Ag7 (PBE)

Data for crystalline BaCd5Ag7 at its relaxed geometry.

Cell: 5.751 7.607 7.607 Å, 82.11 67.79 67.79°
Element x y z (fractional)
Ag (0.502, 0.228, 0.768)
Cd (0.003, 0.002, 0.494)
Cd (0.501, 0.494, 0.002)
Ag (0.274, 0.226, 0.226)
Ag (0.350, 0.650, 0.650)
Cd (0.501, 0.002, 0.494)
Ba (0.995, 0.005, 0.005)
Cd (0.003, 0.494, 0.002)
Ag (0.642, 0.358, 0.358)
Cd (0.722, 0.778, 0.778)
Ag (0.002, 0.353, 0.644)
Ag (0.002, 0.644, 0.353)
Ag (0.502, 0.768, 0.228)

=====

# 8
## Ba3Cd3Ag8 (PBE)

Data for crystalline Ba3Cd3Ag8 at its relaxed geometry.

Cell: 4.931 9.219 9.219 Å, 66.89 74.49 74.49°
Element x y z (fractional)
Ba (0.500, 0.500, 0.500)
Ag (0.168, 0.188, 0.475)
Ag (0.368, 0.350, 0.915)
Cd (0.000, 0.791, 0.209)
Cd (0.000, 0.209, 0.791)
Ag (0.832, 0.812, 0.525)
Cd (0.500, 0.000, 0.000)
Ag (0.832, 0.525, 0.812)
Ag (0.632, 0.650, 0.085)
Ba (0.201, 0.799, 0.799)
Ag (0.368, 0.915, 0.350)
Ag (0.168, 0.475, 0.188)
Ag (0.632, 0.085, 0.650)
Ba (0.799, 0.201, 0.201)

=====

# 9
## BaCd9Ag2 (PBE)

Data for crystalline BaCd9Ag2 at its relaxed geometry.

Output
E above lowest polymorph = 92.9 meV per atom

Cell: 3.817 9.449 9.449 Å, 120.00 90.00 90.00°
Element x y z (fractional)
Cd (0.500, 0.617, 0.809)
Cd (0.500, 0.191, 0.383)
Cd (0.000, 0.500, 0.000)
Cd (0.500, 0.191, 0.809)
Cd (0.500, 0.383, 0.191)
Cd (0.500, 0.809, 0.617)
Ag (0.000, 0.333, 0.667)
Cd (0.000, 0.500, 0.500)
Ba (0.000, 0.000, 0.000)
Cd (0.000, 0.000, 0.500)
Ag (0.000, 0.667, 0.333)
Cd (0.500, 0.809, 0.191)

=====

# 10
## BaCd2Ag (PBE)

Data for crystalline BaCd2Ag at its relaxed geometry.

Cell: 4.672 3.961 6.852 Å, 73.77 90.00 90.00°
Element x y z (fractional)
Cd (0.000, 0.017, 0.090)
Ba (0.500, 0.710, 0.712)
Ag (0.000, 0.328, 0.467)
Cd (0.500, 0.445, 0.231)

=====

# 11
## BaCd3Ag (PBE)

Data for crystalline BaCd3Ag at its relaxed geometry.

Output
E above lowest polymorph = 1004.8 meV per atom

Cell: 6.652 6.652 6.652 Å, 90.00 90.00 90.00°
Element x y z (fractional)
Ba (0.000, 0.000, 0.000)
Cd (0.500, 0.000, 0.000)
Cd (0.000, 0.000, 0.500)
Ag (0.500, 0.500, 0.500)
Cd (0.000, 0.500, 0.000)

=====

# 12
## Ba2CdAg (PBE)

Data for crystalline Ba2CdAg at its relaxed geometry.

Cell: 4.976 4.979 7.052 Å, 90.00 90.00 90.00°
Element x y z (fractional)
Ba (0.500, 0.500, 0.373)
Ag (0.500, 0.500, 0.873)
Cd (0.000, 0.000, 0.377)
Ba (0.000, 0.000, 0.876)

=====

| no. | mass density (kg/m³) | energy of formation (eV/atom) |
| --- | --- | --- |
| 1 | 5534 | -0.289 |
| 2 | 4761 | -0.197 |
| 3 | 6618 | -0.276 |
| 4 | 7450 | -0.196 |
| 5 | 4215 | -0.096 |
| 6 | 4719 | -0.157 |
| 7 | 8468 | -0.082 |
| 8 | 7333 | -0.216 |
| 9 | 7677 | -0.095 |
| 10 | 6411 | -0.141 |
| 11 | 3286 | 0.755 |
| 12 | 4704 | -0.138 |